# NdNi5Rh (PBE-GGA, optimized geometry)
# * raw total energy: -169.53 eV per cell
# * ΔE_f: -0.19 eV per atom
data_NdNi5Rh
_cell_length_a 7.9400
_cell_length_b 4.9389
_cell_length_c 10.0150
_cell_angle_alpha 90.00
_cell_angle_beta 90.00
_cell_angle_gamma 90.00
_symmetry_space_group_name_H-M 'P n m a'
_symmetry_Int_Tables_number 62
loop_
_symmetry_equiv_pos_as_xyz
'x,y,z'
'-x,-y,-z'
'-x+1/2,-y,z+1/2'
'x+1/2,y,-z+1/2'
'x+1/2,-y+1/2,-z+1/2'
'-x+1/2,y+1/2,z+1/2'
'-x,y+1/2,-z'
'x,-y+1/2,z'
loop_
_atom_site_label
_atom_site_type_symbol
_atom_site_fract_x
_atom_site_fract_y
_atom_site_fract_z
Nd1 Nd 0.2416 0.2500 0.0602
Ni1 Ni 0.0650 0.7500 0.0996
Ni2 Ni 0.0703 0.0032 0.3110
Ni3 Ni 0.0982 0.2500 0.5197
Ni4 Ni 0.1779 0.2500 0.7561
Rh1 Rh 0.1445 0.7500 0.8540

=====

# Nd2NiSb3Rh4 (PBE-GGA, optimized geometry)
# * raw total energy: -64.21 eV per cell
# * energy relative to the elements, uncorrected: -7.12 eV per formula unit
data_Nd2NiSb3Rh4
_cell_length_a 4.3462
_cell_length_b 4.3462
_cell_length_c 10.8406
_cell_angle_alpha 90.00
_cell_angle_beta 90.00
_cell_angle_gamma 90.00
_symmetry_space_group_name_H-M 'P -4 m 2'
_symmetry_Int_Tables_number 115
loop_
_symmetry_equiv_pos_as_xyz
'x,y,z'
'y,-x,-z'
'-x,-y,z'
'-y,x,-z'
'-x,y,z'
'-y,-x,-z'
'x,-y,z'
'y,x,-z'
loop_
_atom_site_label
_atom_site_type_symbol
_atom_site_fract_x
_atom_site_fract_y
_atom_site_fract_z
Nd1 Nd 0.0000 0.5000 0.2339
Ni1 Ni 0.5000 0.5000 0.0000
Sb1 Sb 0.0000 0.0000 0.0000
Sb2 Sb 0.0000 0.5000 0.6375
Rh1 Rh 0.0000 0.0000 0.5000
Rh2 Rh 0.0000 0.5000 0.8726
Rh3 Rh 0.5000 0.5000 0.5000

=====

# Nd2NiSb4Rh3 (PBE-GGA, optimized geometry)
# * raw total energy: -61.35 eV per cell
# * energy relative to the elements, uncorrected: -7.49 eV per formula unit
data_Nd2NiSb4Rh3
_cell_length_a 4.5401
_cell_length_b 4.5401
_cell_length_c 10.4381
_cell_angle_alpha 90.00
_cell_angle_beta 90.00
_cell_angle_gamma 90.00
_symmetry_space_group_name_H-M 'P -4 m 2'
_symmetry_Int_Tables_number 115
loop_
_symmetry_equiv_pos_as_xyz
'x,y,z'
'y,-x,-z'
'-x,-y,z'
'-y,x,-z'
'-x,y,z'
'-y,-x,-z'
'x,-y,z'
'y,x,-z'
loop_
_atom_site_label
_atom_site_type_symbol
_atom_site_fract_x
_atom_site_fract_y
_atom_site_fract_z
Nd1 Nd 0.0000 0.5000 0.2395
Ni1 Ni 0.5000 0.5000 0.0000
Sb1 Sb 0.0000 0.0000 0.5000
Sb2 Sb 0.0000 0.5000 0.8740
Sb3 Sb 0.5000 0.5000 0.5000
Rh1 Rh 0.0000 0.0000 0.0000
Rh2 Rh 0.0000 0.5000 0.6261